--- 1 ---
# MgAlCr (PBE, optimized geometry)
# space group = Fmm2, No. 42
data_MgAlCr
_cell_length_a 6.880
_cell_length_b 6.761
_cell_length_c 2.696
_cell_angle_alpha 81.08
_cell_angle_beta 76.15
_cell_angle_gamma 22.77
_symmetry_space_group_name_H-M 'P 1'
_symmetry_Int_Tables_number 1
loop_
_symmetry_equiv_pos_as_xyz
'x,y,z'
loop_
_atom_site_label
_atom_site_type_symbol
_atom_site_fract_x
_atom_site_fract_y
_atom_site_fract_z
_atom_site_occupancy
Al1 Al 0.986 0.986 0.014 1
Cr1 Cr 0.340 0.340 0.660 1
Mg1 Mg 0.674 0.674 0.326 1

***

--- 2 ---
# MgAlCr (PBE, optimized geometry)
# space group = I4mm, No. 107
data_MgAlCr
_cell_length_a 5.679
_cell_length_b 5.679
_cell_length_c 5.679
_cell_angle_alpha 148.52
_cell_angle_beta 148.52
_cell_angle_gamma 45.12
_symmetry_space_group_name_H-M 'P 1'
_symmetry_Int_Tables_number 1
loop_
_symmetry_equiv_pos_as_xyz
'x,y,z'
loop_
_atom_site_label
_atom_site_type_symbol
_atom_site_fract_x
_atom_site_fract_y
_atom_site_fract_z
_atom_site_occupancy
Al1 Al 0.980 0.980 0.000 1
Cr1 Cr 0.347 0.347 0.000 1
Mg1 Mg 0.673 0.673 0.000 1

***

Which one sits at the bottom of the stability order? 1 does.

***

--- 1 ---
# MgAlCr (PBE, optimized geometry)
# space group = P3m1, No. 156
data_MgAlCr
_cell_length_a 4.493
_cell_length_b 4.493
_cell_length_c 2.893
_cell_angle_alpha 90.00
_cell_angle_beta 90.00
_cell_angle_gamma 120.00
_symmetry_space_group_name_H-M 'P 1'
_symmetry_Int_Tables_number 1
loop_
_symmetry_equiv_pos_as_xyz
'x,y,z'
loop_
_atom_site_label
_atom_site_type_symbol
_atom_site_fract_x
_atom_site_fract_y
_atom_site_fract_z
_atom_site_occupancy
Al1 Al 0.000 0.000 0.997 1
Cr1 Cr 0.667 0.333 0.313 1
Mg1 Mg 0.333 0.667 0.691 1

***

--- 2 ---
# MgAlCr (PBE, optimized geometry)
# space group = P3m1, No. 156
data_MgAlCr
_cell_length_a 2.810
_cell_length_b 2.810
_cell_length_c 6.882
_cell_angle_alpha 90.00
_cell_angle_beta 90.00
_cell_angle_gamma 120.00
_symmetry_space_group_name_H-M 'P 1'
_symmetry_Int_Tables_number 1
loop_
_symmetry_equiv_pos_as_xyz
'x,y,z'
loop_
_atom_site_label
_atom_site_type_symbol
_atom_site_fract_x
_atom_site_fract_y
_atom_site_fract_z
_atom_site_occupancy
Al1 Al 0.000 0.000 0.024 1
Cr1 Cr 0.667 0.333 0.322 1
Mg1 Mg 0.333 0.667 0.654 1

***

--- 3 ---
# MgAlCr (PBE, optimized geometry)
# space group = F-43m, No. 216
data_MgAlCr
_cell_length_a 4.441
_cell_length_b 4.441
_cell_length_c 4.441
_cell_angle_alpha 60.00
_cell_angle_beta 60.00
_cell_angle_gamma 60.00
_symmetry_space_group_name_H-M 'P 1'
_symmetry_Int_Tables_number 1
loop_
_symmetry_equiv_pos_as_xyz
'x,y,z'
loop_
_atom_site_label
_atom_site_type_symbol
_atom_site_fract_x
_atom_site_fract_y
_atom_site_fract_z
_atom_site_occupancy
Al1 Al 0.750 0.750 0.750 1
Cr1 Cr 0.000 0.000 0.000 1
Mg1 Mg 0.500 0.500 0.500 1

***

Which one sits at the bottom of the stability order? 3 does.

***

--- 1 ---
# Mg14AlCr (PBE, optimized geometry)
# space group = P-6m2, No. 187
data_Mg14AlCr
_cell_length_a 6.290
_cell_length_b 6.290
_cell_length_c 10.168
_cell_angle_alpha 90.00
_cell_angle_beta 90.00
_cell_angle_gamma 120.00
_symmetry_space_group_name_H-M 'P 1'
_symmetry_Int_Tables_number 1
loop_
_symmetry_equiv_pos_as_xyz
'x,y,z'
loop_
_atom_site_label
_atom_site_type_symbol
_atom_site_fract_x
_atom_site_fract_y
_atom_site_fract_z
_atom_site_occupancy
Mg1 Mg 0.999 0.499 0.000 1
Mg2 Mg 0.001 0.500 0.500 1
Mg3 Mg 0.501 0.001 0.000 1
Mg4 Mg 0.500 0.999 0.500 1
Mg5 Mg 0.501 0.499 0.000 1
Mg6 Mg 0.500 0.500 0.500 1
Mg7 Mg 0.163 0.837 0.252 1
Mg8 Mg 0.163 0.837 0.748 1
Mg9 Mg 0.163 0.326 0.252 1
Mg10 Mg 0.163 0.326 0.748 1
Mg11 Mg 0.674 0.837 0.252 1
Mg12 Mg 0.674 0.837 0.748 1
Mg13 Mg 0.667 0.333 0.250 1
Mg14 Mg 0.667 0.333 0.750 1
Al1 Al 0.000 0.000 0.000 1
Cr1 Cr 0.000 0.000 0.500 1

***

--- 2 ---
# Mg14AlCr (PBE, optimized geometry)
# space group = Amm2, No. 38
data_Mg14AlCr
_cell_length_a 6.264
_cell_length_b 6.264
_cell_length_c 10.245
_cell_angle_alpha 90.00
_cell_angle_beta 90.00
_cell_angle_gamma 120.14
_symmetry_space_group_name_H-M 'P 1'
_symmetry_Int_Tables_number 1
loop_
_symmetry_equiv_pos_as_xyz
'x,y,z'
loop_
_atom_site_label
_atom_site_type_symbol
_atom_site_fract_x
_atom_site_fract_y
_atom_site_fract_z
_atom_site_occupancy
Mg1 Mg 0.834 0.166 0.000 1
Mg2 Mg 0.334 0.666 0.000 1
Mg3 Mg 0.335 0.163 0.500 1
Mg4 Mg 0.332 0.167 0.000 1
Mg5 Mg 0.837 0.665 0.500 1
Mg6 Mg 0.833 0.668 0.000 1
Mg7 Mg 0.166 0.338 0.263 1
Mg8 Mg 0.166 0.338 0.737 1
Mg9 Mg 0.662 0.834 0.263 1
Mg10 Mg 0.662 0.834 0.737 1
Mg11 Mg 0.667 0.333 0.253 1
Mg12 Mg 0.667 0.333 0.747 1
Mg13 Mg 0.169 0.831 0.255 1
Mg14 Mg 0.169 0.831 0.745 1
Al1 Al 0.833 0.167 0.500 1
Cr1 Cr 0.332 0.668 0.500 1

***

Which one sits at the bottom of the stability order? 1 does.

***

--- 1 ---
# Mg16Al12Cr (PBE, optimized geometry)
# space group = R3m, No. 160
data_Mg16Al12Cr
_cell_length_a 9.052
_cell_length_b 9.052
_cell_length_c 9.052
_cell_angle_alpha 109.26
_cell_angle_beta 109.26
_cell_angle_gamma 109.26
_symmetry_space_group_name_H-M 'P 1'
_symmetry_Int_Tables_number 1
loop_
_symmetry_equiv_pos_as_xyz
'x,y,z'
loop_
_atom_site_label
_atom_site_type_symbol
_atom_site_fract_x
_atom_site_fract_y
_atom_site_fract_z
_atom_site_occupancy
Mg1 Mg 0.294 0.592 0.592 1
Mg2 Mg 0.654 0.002 0.002 1
Mg3 Mg 0.717 0.318 0.318 1
Mg4 Mg 0.993 0.993 0.993 1
Mg5 Mg 0.003 0.402 0.684 1
Mg6 Mg 0.592 0.294 0.592 1
Mg7 Mg 0.402 0.684 0.003 1
Mg8 Mg 0.002 0.654 0.002 1
Mg9 Mg 0.318 0.318 0.717 1
Mg10 Mg 0.684 0.003 0.402 1
Mg11 Mg 0.684 0.402 0.003 1
Mg12 Mg 0.318 0.717 0.318 1
Mg13 Mg 0.002 0.002 0.654 1
Mg14 Mg 0.402 0.003 0.684 1
Mg15 Mg 0.592 0.592 0.294 1
Mg16 Mg 0.003 0.684 0.402 1
Al1 Al 0.828 0.641 0.641 1
Al2 Al 0.190 0.814 0.814 1
Al3 Al 0.003 0.186 0.366 1
Al4 Al 0.366 0.003 0.186 1
Al5 Al 0.641 0.641 0.828 1
Al6 Al 0.186 0.003 0.366 1
Al7 Al 0.814 0.814 0.190 1
Al8 Al 0.814 0.190 0.814 1
Al9 Al 0.186 0.366 0.003 1
Al10 Al 0.641 0.828 0.641 1
Al11 Al 0.366 0.186 0.003 1
Al12 Al 0.003 0.366 0.186 1
Cr1 Cr 0.303 0.303 0.303 1

***

--- 2 ---
# Mg16Al12Cr (PBE, optimized geometry)
# space group = I-43m, No. 217
data_Mg16Al12Cr
_cell_length_a 9.081
_cell_length_b 9.081
_cell_length_c 9.081
_cell_angle_alpha 109.47
_cell_angle_beta 109.47
_cell_angle_gamma 109.47
_symmetry_space_group_name_H-M 'P 1'
_symmetry_Int_Tables_number 1
loop_
_symmetry_equiv_pos_as_xyz
'x,y,z'
loop_
_atom_site_label
_atom_site_type_symbol
_atom_site_fract_x
_atom_site_fract_y
_atom_site_fract_z
_atom_site_occupancy
Mg1 Mg 0.601 0.601 0.286 1
Mg2 Mg 0.314 0.314 0.714 1
Mg3 Mg 0.337 0.337 0.337 1
Mg4 Mg 0.000 0.000 0.663 1
Mg5 Mg 0.686 0.399 0.000 1
Mg6 Mg 0.601 0.286 0.601 1
Mg7 Mg 0.000 0.686 0.399 1
Mg8 Mg 0.000 0.663 0.000 1
Mg9 Mg 0.399 0.000 0.686 1
Mg10 Mg 0.714 0.314 0.314 1
Mg11 Mg 0.314 0.714 0.314 1
Mg12 Mg 0.000 0.399 0.686 1
Mg13 Mg 0.663 0.000 0.000 1
Mg14 Mg 0.686 0.000 0.399 1
Mg15 Mg 0.286 0.601 0.601 1
Mg16 Mg 0.399 0.686 0.000 1
Al1 Al 0.815 0.815 0.180 1
Al2 Al 0.636 0.636 0.820 1
Al3 Al 0.364 0.185 0.000 1
Al4 Al 0.185 0.000 0.364 1
Al5 Al 0.820 0.636 0.636 1
Al6 Al 0.364 0.000 0.185 1
Al7 Al 0.180 0.815 0.815 1
Al8 Al 0.000 0.364 0.185 1
Al9 Al 0.815 0.180 0.815 1
Al10 Al 0.636 0.820 0.636 1
Al11 Al 0.000 0.185 0.364 1
Al12 Al 0.185 0.364 0.000 1
Cr1 Cr 0.000 0.000 0.000 1

***

Which one sits at the bottom of the stability order? 2 does.